An optimized crystal structure of La5HoTm3, computed with PBE.

a = 6.546 Å, b = 11.657 Å, c = 11.553 Å
α = 128.63°, β = 90.00°, γ = 106.31°
Fractional positions:
La1 0.350 0.351 0.992
Tm1 0.877 0.319 0.806
La2 0.529 0.673 0.384
La3 0.145 0.673 0.884
La4 0.471 0.327 0.616
Tm2 0.557 0.681 0.694
Tm3 0.000 0.000 0.000
La5 0.999 0.649 0.508
La6 0.650 0.649 0.008
Ho1 0.127 0.000 0.250
La7 0.398 0.000 0.750
Ho2 0.873 0.000 0.750
Tm4 0.123 0.681 0.194
Tm5 0.443 0.319 0.306
Tm6 0.000 0.000 0.500
La8 0.855 0.327 0.116
La9 0.602 0.000 0.250
La10 0.001 0.351 0.492

Values from the calculation:
Its crystal system is monoclinic. Its total DFT energy (no corrections) is -4.488 eV/atom. The formation energy comes out at 215 kJ/mol of formula units.

=====

An optimized crystal structure of La12Ho6Tm, computed with PBE.

a = 9.314 Å, b = 9.314 Å, c = 9.314 Å
α = 106.78°, β = 106.78°, γ = 106.78°
Fractional positions:
La1 0.816 0.286 0.114
Tm1 0.000 0.000 0.000
La2 0.807 0.413 0.510
Ho1 0.437 0.091 0.193
La3 0.490 0.193 0.587
Ho2 0.909 0.807 0.563
La4 0.510 0.807 0.413
La5 0.413 0.510 0.807
La6 0.114 0.816 0.286
Ho3 0.091 0.193 0.437
Ho4 0.193 0.437 0.091
La7 0.714 0.886 0.184
Ho5 0.807 0.563 0.909
La8 0.184 0.714 0.886
La9 0.286 0.114 0.816
La10 0.886 0.184 0.714
La11 0.587 0.490 0.193
Ho6 0.563 0.909 0.807
La12 0.193 0.587 0.490

Values from the calculation:
Its crystal system is trigonal. Its total DFT energy (no corrections) is -4.567 eV/atom. The formation energy comes out at 415 kJ/mol of formula units.

=====

An optimized crystal structure of La8Ho5Tm, computed with PBE.

a = 8.662 Å, b = 8.698 Å, c = 8.663 Å
α = 114.35°, β = 98.75°, γ = 115.59°
Fractional positions:
La1 0.087 0.214 0.749
La2 0.651 0.224 0.312
La3 0.480 0.545 0.241
Tm1 0.088 0.499 0.589
Ho1 0.836 0.745 0.705
La4 0.089 0.776 0.427
Ho2 0.314 0.038 0.903
Ho3 0.599 0.001 0.599
Ho4 0.864 0.962 0.276
La5 0.346 0.264 0.471
La6 0.534 0.786 0.873
La7 0.696 0.455 0.935
La8 0.206 0.736 0.081
Ho5 0.960 0.255 0.090

Values from the calculation:
Its crystal system is triclinic. Its total DFT energy (no corrections) is -4.608 eV/atom. The formation energy comes out at 219 kJ/mol of formula units.

=====

An optimized crystal structure of LaHo9Tm2, computed with PBE.

a = 5.003 Å, b = 5.003 Å, c = 15.040 Å
α = 90.00°, β = 90.00°, γ = 90.00°
Fractional positions:
La1 0.000 0.000 0.000
Ho1 0.500 0.000 0.171
Tm1 0.000 0.000 0.665
Ho2 0.500 0.000 0.829
Tm2 0.000 0.000 0.335
Ho3 0.500 0.500 0.664
Ho4 0.500 0.500 0.000
Ho5 0.000 0.500 0.829
Ho6 0.000 0.500 0.171
Ho7 0.500 0.500 0.336
Ho8 0.500 0.000 0.500
Ho9 0.000 0.500 0.500

Values from the calculation:
Its crystal system is tetragonal. Its total DFT energy (no corrections) is -4.560 eV/atom. The formation energy comes out at 34 kJ/mol of formula units. The excess energy over the best structure of this formula in the dataset comes out at 0.000 eV per atom.

=====

An optimized crystal structure of La7Ho2Tm2, computed with PBE.

a = 7.035 Å, b = 7.624 Å, c = 7.624 Å
α = 79.93°, β = 78.48°, γ = 78.48°
Fractional positions:
Tm1 0.500 0.180 0.820
La1 0.821 0.515 0.883
La2 0.763 0.467 0.467
La3 0.237 0.533 0.533
La4 0.000 0.000 0.000
La5 0.179 0.117 0.485
La6 0.179 0.485 0.117
Ho1 0.599 0.242 0.242
Tm2 0.500 0.820 0.180
La7 0.821 0.883 0.515
Ho2 0.401 0.758 0.758

Values from the calculation:
Its crystal system is monoclinic. Its total DFT energy (no corrections) is -4.613 eV/atom. The formation energy comes out at 179 kJ/mol of formula units. The excess energy over the best structure of this formula in the dataset comes out at 0.000 eV per atom.

=====

An optimized crystal structure of LaHo5Tm12, computed with PBE.

a = 6.102 Å, b = 6.102 Å, c = 17.189 Å
α = 86.60°, β = 86.60°, γ = 119.99°
Fractional positions:
Tm1 0.721 0.721 0.832
Tm2 0.444 0.778 0.668
Ho1 0.333 0.667 0.000
Tm3 0.222 0.556 0.332
Ho2 0.500 0.500 0.500
Tm4 0.778 0.444 0.668
Tm5 0.889 0.889 0.332
Tm6 0.111 0.111 0.668
Tm7 0.391 0.056 0.832
Ho3 0.166 0.834 0.500
Ho4 0.667 0.333 0.000
Tm8 0.279 0.279 0.168
Tm9 0.609 0.944 0.168
Tm10 0.944 0.609 0.168
Tm11 0.056 0.391 0.832
Ho5 0.834 0.166 0.500
Tm12 0.556 0.222 0.332
La1 0.000 0.000 0.000

Values from the calculation:
Its crystal system is monoclinic. Its total DFT energy (no corrections) is -4.512 eV/atom. The formation energy comes out at 25 kJ/mol of formula units.

=====

An optimized crystal structure of La2Ho4Tm7, computed with PBE.

a = 6.027 Å, b = 6.027 Å, c = 13.309 Å
α = 90.00°, β = 90.00°, γ = 120.00°
Fractional positions:
Tm1 0.000 0.000 0.000
Tm2 0.649 0.000 0.216
La1 0.667 0.333 0.000
Tm3 0.649 0.649 0.784
Ho1 0.000 0.000 0.395
Tm4 0.351 0.000 0.784
Tm5 0.000 0.351 0.784
Ho2 0.333 0.667 0.500
La2 0.333 0.667 0.000
Ho3 0.000 0.000 0.605
Ho4 0.667 0.333 0.500
Tm6 0.351 0.351 0.216
Tm7 0.000 0.649 0.216

Values from the calculation:
Its crystal system is trigonal. Its total DFT energy (no corrections) is -4.373 eV/atom. The formation energy comes out at 253 kJ/mol of formula units.

=====

An optimized crystal structure of La2HoTm3, computed with PBE.

a = 6.458 Å, b = 8.126 Å, c = 8.126 Å
α = 70.12°, β = 90.00°, γ = 90.00°
Fractional positions:
La1 0.563 0.865 0.493
Tm1 0.081 0.755 0.381
Tm2 0.327 0.922 0.922
Tm3 0.581 0.619 0.245
Ho1 0.344 0.168 0.168
La2 0.563 0.493 0.865
Tm4 0.827 0.078 0.078
Tm5 0.081 0.381 0.755
La3 0.063 0.507 0.135
Tm6 0.581 0.245 0.619
Ho2 0.844 0.832 0.832
La4 0.063 0.135 0.507

Values from the calculation:
Its crystal system is orthorhombic. Its total DFT energy (no corrections) is -4.391 eV/atom. The formation energy comes out at 145 kJ/mol of formula units. The excess energy over the best structure of this formula in the dataset comes out at 0.171 eV per atom.

=====

An optimized crystal structure of La3HoTm2, computed with PBE.

a = 10.417 Å, b = 10.417 Å, c = 15.265 Å
α = 47.12°, β = 47.12°, γ = 20.01°
Fractional positions:
La1 0.250 0.250 0.396
La2 0.962 0.962 0.150
Tm1 0.450 0.450 0.358
La3 0.038 0.038 0.850
Tm2 0.550 0.550 0.642
La4 0.672 0.672 0.898
Tm3 0.852 0.852 0.873
La5 0.328 0.328 0.102
Tm4 0.148 0.148 0.127
Ho1 0.618 0.618 0.355
Ho2 0.382 0.382 0.645
La6 0.750 0.750 0.604

Values from the calculation:
Its crystal system is monoclinic. Its total DFT energy (no corrections) is -4.631 eV/atom. The formation energy comes out at 50 kJ/mol of formula units. The excess energy over the best structure of this formula in the dataset comes out at 0.000 eV per atom.

=====

An optimized crystal structure of La3Ho5Tm2, computed with PBE.

a = 9.371 Å, b = 9.329 Å, c = 11.180 Å
α = 124.18°, β = 124.27°, γ = 69.81°
Fractional positions:
La1 0.015 0.775 0.248
Ho1 0.973 0.223 0.446
Ho2 0.470 0.720 0.439
Tm1 0.766 0.009 0.729
Ho3 0.374 0.118 0.718
La2 0.985 0.225 0.752
La3 0.764 0.014 0.029
La4 0.732 0.473 0.248
La5 0.268 0.527 0.752
Ho4 0.845 0.600 0.718
Tm2 0.234 0.991 0.271
Ho5 0.275 0.525 0.050
Ho6 0.626 0.882 0.282
Ho7 0.155 0.400 0.282
Ho8 0.530 0.280 0.561
Ho9 0.027 0.777 0.554
Tm3 0.537 0.280 0.271
Ho10 0.725 0.475 0.950
La6 0.236 0.986 0.971
Tm4 0.463 0.720 0.729

Values from the calculation:
Its crystal system is monoclinic. Its total DFT energy (no corrections) is -4.467 eV/atom. The formation energy comes out at 187 kJ/mol of formula units.

=====

An optimized crystal structure of La7HoTm3, computed with PBE.

a = 9.978 Å, b = 9.982 Å, c = 12.962 Å
α = 67.94°, β = 112.03°, γ = 138.67°
Fractional positions:
La1 0.569 0.915 0.467
Tm1 0.298 0.664 0.730
Tm2 0.702 0.336 0.270
Tm3 0.666 0.299 0.770
La2 0.372 0.371 0.750
La3 0.565 0.899 0.975
La4 0.431 0.085 0.534
La5 0.435 0.101 0.025
La6 0.628 0.629 0.250
Tm4 0.000 0.000 0.000
La7 0.909 0.163 0.230
La8 0.100 0.434 0.476
La9 0.900 0.566 0.524
La10 0.836 0.089 0.730
Tm5 0.000 0.000 0.500
Ho1 0.500 0.500 0.500
Tm6 0.334 0.701 0.230
Ho2 0.500 0.500 0.000
La11 0.164 0.910 0.270
La12 0.085 0.431 0.967
La13 0.915 0.569 0.033
La14 0.091 0.837 0.770

Values from the calculation:
Its crystal system is triclinic. Its total DFT energy (no corrections) is -4.591 eV/atom. The formation energy comes out at 191 kJ/mol of formula units. The excess energy over the best structure of this formula in the dataset comes out at 0.000 eV per atom.

=====

An optimized crystal structure of LaHo2Tm, computed with PBE.

a = 3.594 Å, b = 3.594 Å, c = 11.696 Å
α = 81.16°, β = 81.16°, γ = 60.00°
Fractional positions:
La1 0.666 0.666 0.001
Ho1 0.086 0.086 0.742
Ho2 0.247 0.247 0.258
Tm1 0.500 0.500 0.499

Values from the calculation:
Its crystal system is trigonal. Its total DFT energy (no corrections) is -4.630 eV/atom. The formation energy comes out at 3 kJ/mol of formula units. The excess energy over the best structure of this formula in the dataset comes out at 0.000 eV per atom.